K2PtBr6 | PBE | relaxed

It has space group C2/m (No. 12), with a = 12.831 Å, b = 7.438 Å, c = 7.551 Å, α = 90.00°, β = 125.68° and γ = 90.00°. Symmetry generates all atoms from K at (0.249, 0.000, 0.250), Pt at (0.000, 0.000, 0.500), Br at (0.025, 0.238, 0.291) and Br at (0.238, 0.000, 0.784).

For the total energy, the calculation gives -3.0071 eV per atom.



K2PtBr4 | PBE | relaxed

It has space group P4/mmm (No. 123), with a = 7.461 Å, b = 7.461 Å, c = 4.467 Å, α = 90.00°, β = 90.00° and γ = 90.00°. Symmetry generates all atoms from K at (0.000, 0.500, 0.000), Pt at (0.000, 0.000, 0.500) and Br at (0.234, 0.234, 0.500).

For the total energy, the calculation gives -3.2533 eV per atom.



K2PtBr6 | PBE | relaxed

It has space group I4/m (No. 87), with a = 7.423 Å, b = 7.423 Å, c = 10.664 Å, α = 90.00°, β = 90.00° and γ = 90.00°. Symmetry generates all atoms from K at (0.000, 0.500, 0.250), Pt at (0.000, 0.000, 0.000), Br at (0.000, 0.000, 0.235) and Br at (0.218, 0.257, 0.000).

For the total energy, the calculation gives -3.0057 eV per atom.



K3PtBr6 | PBE | relaxed

It has space group Fm-3m (No. 225), with a = 11.300 Å, b = 11.300 Å, c = 11.300 Å, α = 90.00°, β = 90.00° and γ = 90.00°. Symmetry generates all atoms from K at (0.000, 0.000, 0.000), K at (0.250, 0.250, 0.250), Pt at (0.000, 0.000, 0.500) and Br at (0.000, 0.000, 0.273).

For the total energy, the calculation gives -2.9713 eV per atom.



K2TlPtBr6 | PBE | relaxed

It has space group Fm-3m (No. 225), with a = 11.179 Å, b = 11.179 Å, c = 11.179 Å, α = 90.00°, β = 90.00° and γ = 90.00°. Symmetry generates all atoms from K at (0.250, 0.250, 0.250), Tl at (0.000, 0.000, 0.000), Pt at (0.000, 0.000, 0.500) and Br at (0.000, 0.000, 0.269).

For the total energy, the calculation gives -2.9702 eV per atom.



KTl2PtBr6 | PBE | relaxed

It has space group Fm-3m (No. 225), with a = 11.265 Å, b = 11.265 Å, c = 11.265 Å, α = 90.00°, β = 90.00° and γ = 90.00°. Symmetry generates all atoms from K at (0.000, 0.000, 0.000), Tl at (0.250, 0.250, 0.250), Pt at (0.000, 0.000, 0.500) and Br at (0.000, 0.000, 0.273).

For the total energy, the calculation gives -2.8588 eV per atom.